(1)
This record from the Alexandria database describes Ce2Zn2Ru after structural relaxation. The functional is PBE.

Results
total magnetization = 2.1 Bohr magnetons per cell
E = -5.0363 eV per atom
calculated density = 8.15 Mg/m³
formation enthalpy at 0 K = -298 meV/atom

CIF file:
```
data_Ce2Zn2Ru
_chemical_formula_sum 'Ce4 Zn4 Ru2'
_cell_length_a 4.6903
_cell_length_b 4.7996
_cell_length_c 9.2690
_cell_angle_alpha 90.00
_cell_angle_beta 90.00
_cell_angle_gamma 90.00
_space_group_name_H-M_alt 'I m m m'
_space_group_IT_number 71
_space_group_name_Hall '-I 2 2'
loop_
_atom_site_label
_atom_site_type_symbol
_atom_site_fract_x
_atom_site_fract_y
_atom_site_fract_z
_atom_site_occupancy
Ce1 Ce 0.0000 0.0000 0.1834 1
Zn1 Zn 0.2494 0.5000 0.0000 1
Ru1 Ru 0.0000 0.5000 0.5000 1
```

(2)
This record from the Alexandria database describes Ce2ZnRu after structural relaxation. The functional is PBE.

Results
total magnetization = 3.3 Bohr magnetons per cell
E = -5.8937 eV per atom
calculated density = 8.86 Mg/m³
formation enthalpy at 0 K = -289 meV/atom

CIF file:
```
data_Ce2ZnRu
_chemical_formula_sum 'Ce8 Zn4 Ru4'
_cell_length_a 9.9145
_cell_length_b 6.6699
_cell_length_c 5.1510
_cell_angle_alpha 90.00
_cell_angle_beta 100.37
_cell_angle_gamma 90.00
_space_group_name_H-M_alt 'P 1 21/c 1'
_space_group_IT_number 14
loop_
_space_group_symop_operation_xyz
'x,y,z'
'-x,-y,-z'
'-x,y+1/2,-z+1/2'
'x,-y+1/2,z+1/2'
loop_
_atom_site_label
_atom_site_type_symbol
_atom_site_fract_x
_atom_site_fract_y
_atom_site_fract_z
_atom_site_occupancy
Ce1 Ce 0.0983 0.1009 0.2846 1
Ce2 Ce 0.3699 0.6193 0.8656 1
Zn1 Zn 0.3580 0.1353 0.8694 1
Ru1 Ru 0.1494 0.6366 0.3006 1
```

(3)
This record from the Alexandria database describes Ce4ZnRu2 after structural relaxation. The functional is PBE.

Results
total magnetization = 2.3 Bohr magnetons per cell
E = -6.4596 eV per atom
calculated density = 8.44 Mg/m³
formation enthalpy at 0 K = -237 meV/atom

CIF file:
```
data_Ce4ZnRu2
_chemical_formula_sum 'Ce8 Zn2 Ru4'
_cell_length_a 7.0978
_cell_length_b 7.4349
_cell_length_c 7.7370
_cell_angle_alpha 112.43
_cell_angle_beta 103.46
_cell_angle_gamma 109.01
_space_group_name_H-M_alt 'P 1'
_space_group_IT_number 1
loop_
_space_group_symop_operation_xyz
'x,y,z'
loop_
_atom_site_label
_atom_site_type_symbol
_atom_site_fract_x
_atom_site_fract_y
_atom_site_fract_z
_atom_site_occupancy
Ce1 Ce 0.0000 0.0000 0.0000 1
Ce2 Ce 0.0524 0.5026 0.0508 1
Ce3 Ce 0.1472 0.8405 0.5298 1
Ce4 Ce 0.3835 0.7769 0.9617 1
Ce5 Ce 0.5354 0.3849 0.7135 1
Ce6 Ce 0.5904 0.3510 0.2382 1
Ce7 Ce 0.6658 0.8924 0.5717 1
Ce8 Ce 0.9213 0.2344 0.5022 1
Zn1 Zn 0.2676 0.4565 0.4055 1
Zn2 Zn 0.7704 0.7434 0.1763 1
Ru1 Ru 0.2295 0.2560 0.8453 1
Ru2 Ru 0.3551 0.0072 0.3227 1
Ru3 Ru 0.5851 0.1145 0.9080 1
Ru4 Ru 0.8987 0.6181 0.6874 1
```

(4)
This record from the Alexandria database describes Ce2Zn16Ru after structural relaxation. The functional is PBE.

Results
total magnetization = 2.0 Bohr magnetons per cell
E = -2.4037 eV per atom
calculated density = 7.62 Mg/m³
formation enthalpy at 0 K = -218 meV/atom

CIF file:
```
data_Ce2Zn16Ru
_chemical_formula_sum 'Ce6 Zn48 Ru3'
_cell_length_a 9.1330
_cell_length_b 9.1330
_cell_length_c 12.9164
_cell_angle_alpha 90.00
_cell_angle_beta 90.00
_cell_angle_gamma 120.00
_space_group_name_H-M_alt 'R 3 m'
_space_group_IT_number 160
_space_group_name_Hall 'R 3 -2"'
loop_
_atom_site_label
_atom_site_type_symbol
_atom_site_fract_x
_atom_site_fract_y
_atom_site_fract_z
_atom_site_occupancy
Ce1 Ce 0.0000 0.0000 0.0000 1
Ce2 Ce 0.0000 0.0000 0.3450 1
Zn1 Zn 0.0000 0.0000 0.7525 1
Zn2 Zn 0.0004 0.2881 0.6567 1
Zn3 Zn 0.0089 0.5045 0.8122 1
Zn4 Zn 0.1695 0.3389 0.4918 1
Zn5 Zn 0.1733 0.3465 0.8427 1
Ru1 Ru 0.0000 0.0000 0.5371 1
```

(5)
This record from the Alexandria database describes Ce5ZnRu2 after structural relaxation. The functional is PBE.

Results
total magnetization = 0.0 Bohr magnetons per cell
E = -6.4509 eV per atom
calculated density = 8.57 Mg/m³
formation enthalpy at 0 K = -264 meV/atom

CIF file:
```
data_Ce5ZnRu2
_chemical_formula_sum 'Ce20 Zn4 Ru8'
_cell_length_a 4.5816
_cell_length_b 10.6007
_cell_length_c 15.4582
_cell_angle_alpha 90.00
_cell_angle_beta 90.00
_cell_angle_gamma 90.00
_space_group_name_H-M_alt 'C m c m'
_space_group_IT_number 63
_space_group_name_Hall '-C 2c 2'
loop_
_atom_site_label
_atom_site_type_symbol
_atom_site_fract_x
_atom_site_fract_y
_atom_site_fract_z
_atom_site_occupancy
Ce1 Ce 0.0000 0.0725 0.1078 1
Ce2 Ce 0.0000 0.2144 0.7500 1
Ce3 Ce 0.0000 0.3985 0.0730 1
Zn1 Zn 0.0000 0.4990 0.7500 1
Ru1 Ru 0.0000 0.2569 0.5866 1
```

(6)
This record from the Alexandria database describes CeZn4Ru after structural relaxation. The functional is PBE.

Results
total magnetization = 0.9 Bohr magnetons per cell
E = -3.6055 eV per atom
calculated density = 8.49 Mg/m³
formation enthalpy at 0 K = -221 meV/atom

CIF file:
```
data_CeZn4Ru
_chemical_formula_sum 'Ce4 Zn16 Ru4'
_cell_length_a 7.3277
_cell_length_b 7.3277
_cell_length_c 7.3277
_cell_angle_alpha 90.00
_cell_angle_beta 90.00
_cell_angle_gamma 90.00
_space_group_name_H-M_alt 'F -4 3 m'
_space_group_IT_number 216
_space_group_name_Hall 'F -4 2 3'
loop_
_atom_site_label
_atom_site_type_symbol
_atom_site_fract_x
_atom_site_fract_y
_atom_site_fract_z
_atom_site_occupancy
Ce1 Ce 0.0000 0.0000 0.0000 1
Zn1 Zn 0.1235 0.1235 0.3765 1
Ru1 Ru 0.2500 0.2500 0.7500 1
```